1.
## TmPaCuHg (GGA-PBE)

Data for crystalline TmPaCuHg at its relaxed geometry.

Calculated values
Energy of formation from the pure elements   58.7 meV/atom
Space group   F-43m

Unit cell a=5.0827 b=5.0827 c=5.0827 alpha=60.00 beta=60.00 gamma=60.00
Closest atoms and distances in Å follow each position.
Fractional coordinates of all 4 atoms:
Pa  0.5000  0.5000  0.5000  4 Hg 3.11, 4 Cu 3.11
Tm  0.0000  0.0000  0.0000  4 Cu 3.11, 4 Hg 3.11
Hg  0.7500  0.7500  0.7500  4 Pa 3.11, 4 Tm 3.11
Cu  0.2500  0.2500  0.2500  4 Tm 3.11, 4 Pa 3.11



2.
## Cu2HgPb (GGA-PBE)

Data for crystalline Cu2HgPb at its relaxed geometry.

Calculated values
Energy of formation from the pure elements   216.4 meV/atom
Space group   Cm

Unit cell a=4.2287 b=4.2287 c=5.7923 alpha=69.47 beta=69.47 gamma=61.20
Closest atoms and distances in Å follow each position.
Fractional coordinates of all 4 atoms:
Cu  0.0566  0.0566  0.8336  3 Cu 2.46-2.48
Cu  0.7047  0.7047  0.8839  3 Cu 2.46-2.48
Hg  0.4745  0.4745  0.5838  6 Cu 2.79-2.95
Pb  0.2642  0.2642  0.1987  6 Cu 2.97-3.16, 4 Hg 3.18-3.25



3.
## CuHg2Pb (GGA-PBE)

Data for crystalline CuHg2Pb at its relaxed geometry.

Calculated values
Energy of formation from the pure elements   197.0 meV/atom
Space group   I-42d

Unit cell a=8.2244 b=8.2244 c=6.5004 alpha=50.76 beta=50.76 gamma=90.00
Closest atoms and distances in Å follow each position.
Fractional coordinates of all 8 atoms:
Pb  0.0000  0.0000  0.0000  2 Cu 2.90
Pb  0.7500  0.2500  0.5000  2 Cu 2.90
Hg  0.5682  0.1250  0.2500  2 Cu 2.70
Hg  0.1818  0.6250  0.2500  2 Cu 2.70
Hg  0.3750  0.4318  0.7500  2 Cu 2.70
Hg  0.8750  0.8182  0.7500  2 Cu 2.70
Cu  0.5000  0.5000  0.0000  4 Hg 2.70, 2 Pb 2.90
Cu  0.2500  0.7500  0.5000  4 Hg 2.70, 2 Pb 2.90



4.
## CuHg2Pb (GGA-PBE)

Data for crystalline CuHg2Pb at its relaxed geometry.

Calculated values
Energy of formation from the pure elements   152.6 meV/atom
Space group   Cm

Unit cell a=5.1465 b=5.1465 c=6.3910 alpha=65.19 beta=65.19 gamma=40.41
Closest atoms and distances in Å follow each position.
Fractional coordinates of all 4 atoms:
Cu  0.2351  0.2351  0.1108  5 Hg 2.73-2.76, 2 Pb 2.85
Hg  0.9483  0.9483  0.1262  3 Cu 2.73-2.76
Hg  0.7497  0.7497  0.7746  2 Cu 2.74, 1 Pb 3.06
Pb  0.5669  0.5669  0.4885  2 Cu 2.85, 1 Hg 3.06



5.
## Cu2HgPb (GGA-PBE)

Data for crystalline Cu2HgPb at its relaxed geometry.

Calculated values
Energy of formation from the pure elements   379.5 meV/atom
Space group   I-42d

Unit cell a=4.3935 b=4.3935 c=9.6223 alpha=76.80 beta=76.80 gamma=90.00
Closest atoms and distances in Å follow each position.
Fractional coordinates of all 8 atoms:
Pb  0.0000  0.0000  0.0000  4 Cu 2.93, 4 Hg 3.11
Pb  0.7500  0.2500  0.5000  4 Cu 2.93, 4 Hg 3.11
Hg  0.5000  0.5000  0.0000  4 Cu 2.63
Hg  0.2500  0.7500  0.5000  4 Cu 2.63
Cu  0.5383  0.1250  0.2500  2 Cu 2.62, 2 Hg 2.63, 2 Pb 2.93
Cu  0.2117  0.6250  0.2500  2 Cu 2.62, 2 Hg 2.63, 2 Pb 2.93
Cu  0.3750  0.4617  0.7500  2 Cu 2.62, 2 Hg 2.63, 2 Pb 2.93
Cu  0.8750  0.7883  0.7500  2 Cu 2.62, 2 Hg 2.63, 2 Pb 2.93



6.
## CuHg2Pb (GGA-PBE)

Data for crystalline CuHg2Pb at its relaxed geometry.

Calculated values
Energy of formation from the pure elements   177.4 meV/atom
Space group   R-3m

Unit cell a=9.4913 b=9.4913 c=9.4913 alpha=20.92 beta=20.92 gamma=20.92
Closest atoms and distances in Å follow each position.
Fractional coordinates of all 4 atoms:
Cu  0.7500  0.7500  0.7500  6 Hg 2.72
Hg  0.0167  0.0167  0.0167  3 Cu 2.72
Hg  0.4833  0.4833  0.4833  3 Cu 2.72
Pb  0.2500  0.2500  0.2500  6 Hg 3.42, 6 Pb 3.45



| no. | VASP energy (eV per atom) |
| --- | --- |
| 1 | -4.5327 |
| 2 | -2.8342 |
| 3 | -1.9050 |
| 4 | -1.9494 |
| 5 | -2.6711 |
| 6 | -1.9246 |